Here is a crystal of SrZrHg relaxed with PBEsol from Alexandria via LeMat-Bulk. Energies are from SCAN.

a b c (Å): 3.540 3.540 13.151
angles (deg): 90.00 90.00 90.00
Space group I4mm (No. 107)
Inequivalent atoms, fractional coordinates:
Sr 0.000 0.000 0.000 [2 per cell]
Zr 0.000 0.000 0.705 [2 per cell]
Hg 0.000 0.000 0.321 [2 per cell]

* formation energy: -0.2 eV/f.u.
* V: 27.47 Å³ per atom
* crystal system: tetragonal

Here is a crystal of CsNaS2F relaxed with PBEsol from Alexandria via LeMat-Bulk. Energies are from SCAN.

a b c (Å): 4.829 4.829 5.119
angles (deg): 90.00 90.00 90.00
Space group P4/mmm (No. 123)
Inequivalent atoms, fractional coordinates:
Cs 0.000 0.000 0.000 [1 per cell]
Na 0.500 0.500 0.000 [1 per cell]
S 0.000 0.500 0.500 [2 per cell]
F 0.000 0.000 0.500 [1 per cell]

* uncorrected formation energy: -473 meV/atom
* V: 23.88 Å³ per atom
* crystal system: tetragonal

Here is a crystal of NaHf2AsSe relaxed with PBEsol from Alexandria via LeMat-Bulk. Energies are from SCAN.

a b c (Å): 5.046 5.046 4.385
angles (deg): 90.00 90.00 90.00
Space group P4/mmm (No. 123)
Inequivalent atoms, fractional coordinates:
Na 0.000 0.000 0.000 [1 per cell]
Hf 0.000 0.500 0.000 [2 per cell]
As 0.000 0.000 0.500 [1 per cell]
Se 0.500 0.500 0.500 [1 per cell]

* uncorrected formation energy: 1243 meV/atom
* V: 22.33 Å³ per atom
* crystal system: tetragonal

Here is a crystal of Sr5Zn relaxed with PBEsol from Alexandria via LeMat-Bulk. Energies are from SCAN.

a b c (Å): 3.973 3.973 16.489
angles (deg): 90.00 90.00 90.00
Space group P4/mmm (No. 123)
Inequivalent atoms, fractional coordinates:
Sr 0.000 0.000 0.000 [1 per cell]
Sr 0.000 0.000 0.388 [2 per cell]
Sr 0.500 0.500 0.193 [2 per cell]
Zn 0.500 0.500 0.500 [1 per cell]

* formation energy: -0.3 eV/f.u.
* V: 43.39 Å³ per atom
* crystal system: tetragonal

Here is a crystal of PSe4Cl6 relaxed with PBEsol from Alexandria via LeMat-Bulk. Energies are from SCAN.

a b c (Å): 10.494 10.494 10.384
angles (deg): 90.00 90.00 90.00
Space group P4_2/ncm (No. 138, origin choice 2)
Inequivalent atoms, fractional coordinates:
P 0.000 0.000 0.000 [4 per cell]
Se 0.094 0.094 0.417 [8 per cell]
Se 0.111 0.611 0.000 [8 per cell]
Cl 0.062 0.652 0.641 [16 per cell]
Cl 0.134 0.134 0.088 [8 per cell]

* uncorrected formation energy: -324 meV/atom
* V: 25.99 Å³ per atom
* crystal system: tetragonal

Here is a crystal of LaAgSN2 relaxed with PBEsol from Alexandria via LeMat-Bulk. Energies are from SCAN.

a b c (Å): 4.055 4.055 6.042
angles (deg): 90.00 90.00 90.00
Space group P4/mmm (No. 123)
Inequivalent atoms, fractional coordinates:
La 0.000 0.000 0.000 [1 per cell]
Ag 0.500 0.500 0.500 [1 per cell]
S 0.000 0.000 0.500 [1 per cell]
N 0.000 0.500 0.000 [2 per cell]

* uncorrected formation energy: 813 meV/atom
* V: 19.87 Å³ per atom
* crystal system: tetragonal

Here is a crystal of SrLiMg2 relaxed with PBEsol from Alexandria via LeMat-Bulk. Energies are from SCAN.

a b c (Å): 3.763 3.763 7.900
angles (deg): 90.00 90.00 90.00
Space group P4mm (No. 99)
Inequivalent atoms, fractional coordinates:
Sr 0.000 0.000 0.000 [1 per cell]
Li 0.500 0.500 0.302 [1 per cell]
Mg 0.000 0.000 0.484 [1 per cell]
Mg 0.500 0.500 0.699 [1 per cell]

* formation energy: 0.0 eV/f.u.
* V: 27.97 Å³ per atom
* crystal system: tetragonal

Here is a crystal of PrNb3O9 relaxed with PBEsol from Alexandria via LeMat-Bulk. Energies are from SCAN.

a b c (Å): 5.390 7.634 16.488
angles (deg): 90.00 92.11 90.00
Space group P2_1/c (No. 14)
Inequivalent atoms, fractional coordinates:
Pr 0.034 0.250 0.468 [4 per cell]
Nb 0.008 0.027 0.249 [4 per cell]
Nb 0.472 0.014 0.600 [4 per cell]
Nb 0.477 0.002 0.100 [4 per cell]
O 0.099 0.244 0.740 [4 per cell]
O 0.147 0.556 0.643 [4 per cell]
O 0.151 0.562 0.143 [4 per cell]
O 0.263 0.538 0.483 [4 per cell]
O 0.264 0.537 0.983 [4 per cell]
O 0.319 0.551 0.810 [4 per cell]
O 0.323 0.555 0.309 [4 per cell]
O 0.348 0.249 0.080 [4 per cell]
O 0.441 0.250 0.405 [4 per cell]

* uncorrected formation energy: -3003 meV/atom
* V: 13.04 Å³ per atom
* crystal system: monoclinic

Here is a crystal of KAu relaxed with PBEsol from Alexandria via LeMat-Bulk. Energies are from SCAN.

a b c (Å): 5.005 5.005 8.047
angles (deg): 90.00 90.00 90.00
Space group I4_1/amd (No. 141, origin choice 2)
Inequivalent atoms, fractional coordinates:
K 0.000 0.250 0.375 [4 per cell]
Au 0.000 0.250 0.875 [4 per cell]

* formation energy: -0.6 eV/f.u.
* V: 25.20 Å³ per atom
* crystal system: tetragonal

Here is a crystal of Fe2AgRu relaxed with PBEsol from Alexandria via LeMat-Bulk. Energies are from SCAN.

a b c (Å): 5.995 5.995 5.995
angles (deg): 90.00 90.00 90.00
Space group Fm-3m (No. 225)
Inequivalent atoms, fractional coordinates:
Fe 0.250 0.250 0.250 [8 per cell]
Ag 0.000 0.000 0.000 [4 per cell]
Ru 0.000 0.000 0.500 [4 per cell]

* formation energy: 1.1 eV/f.u.
* V: 13.47 Å³ per atom
* crystal system: cubic

Here is a crystal of MgCd2Ag relaxed with PBEsol from Alexandria via LeMat-Bulk. Energies are from SCAN.

a b c (Å): 3.140 4.114 5.920
angles (deg): 90.00 90.00 90.00
Space group Pmmm (No. 47)
Inequivalent atoms, fractional coordinates:
Mg 0.000 0.000 0.000 [1 per cell]
Cd 0.500 0.500 0.255 [2 per cell]
Ag 0.000 0.000 0.500 [1 per cell]

* formation energy: -0.5 eV/f.u.
* V: 19.12 Å³ per atom
* crystal system: orthorhombic

Here is a crystal of K3HfTc relaxed with PBEsol from Alexandria via LeMat-Bulk. Energies are from SCAN.

a b c (Å): 6.496 6.496 6.496
angles (deg): 90.00 90.00 90.00
Space group Pm-3m (No. 221)
Inequivalent atoms, fractional coordinates:
K 0.000 0.000 0.500 [3 per cell]
Hf 0.000 0.000 0.000 [1 per cell]
Tc 0.500 0.500 0.500 [1 per cell]

* formation energy: 11.3 eV/f.u.
* V: 54.82 Å³ per atom
* crystal system: cubic

Number 1: DFT total energy -40.442 eV per atom, density 7.65 Mg/m³, magnetic moment 0.08 μB per atom. Number 2: DFT total energy -13.438 eV per atom, density 3.32 Mg/m³, magnetic moment 0.00 μB per atom. Number 3: DFT total energy -32.723 eV per atom, density 7.94 Mg/m³, magnetic moment 0.00 μB per atom. Number 4: DFT total energy -20.872 eV per atom, density 3.21 Mg/m³, magnetic moment 0.09 μB per atom. Number 5: DFT total energy -12.922 eV per atom, density 3.25 Mg/m³, magnetic moment 0.00 μB per atom. Number 6: DFT total energy -19.724 eV per atom, density 5.13 Mg/m³, magnetic moment 0.00 μB per atom. Number 7: DFT total energy -8.642 eV per atom, density 2.13 Mg/m³, magnetic moment 0.05 μB per atom. Number 8: DFT total energy -18.295 eV per atom, density 5.52 Mg/m³, magnetic moment 0.00 μB per atom. Number 9: DFT total energy -39.050 eV per atom, density 7.78 Mg/m³, magnetic moment 0.00 μB per atom. Number 10: DFT total energy -25.329 eV per atom, density 9.88 Mg/m³, magnetic moment 1.90 μB per atom. Number 11: DFT total energy -24.408 eV per atom, density 7.75 Mg/m³, magnetic moment 0.00 μB per atom. Number 12: DFT total energy -22.286 eV per atom, density 2.39 Mg/m³, magnetic moment 1.77 μB per atom.